Entry 1:
# Na3Eu (PBE-GGA, relaxed)
# - calculated formation energy (meV/atom) = 96
# - magnetic moment (μB per formula unit) = 7.81
data_Na3Eu
_space_group_name_H-M_alt 'P m m 2'
_space_group_IT_number 25
_cell_length_a 3.731
_cell_length_b 6.326
_cell_length_c 6.734
_cell_angle_alpha 90.00
_cell_angle_beta 90.00
_cell_angle_gamma 90.00
loop_
_space_group_symop_operation_xyz
'x,y,z'
'-x,-y,z'
'-x,y,z'
'x,-y,z'
loop_
_atom_site_label
_atom_site_fract_x
_atom_site_fract_y
_atom_site_fract_z
_atom_site_occupancy
Na1 0.000 0.000 0.000 1
Na2 0.000 0.500 0.310 1
Na3 0.500 0.000 0.484 1
Eu1 0.500 0.500 0.812 1

---

Entry 2:
# MgAgRh2 (PBE-GGA, relaxed)
# - calculated formation energy (meV/atom) = 257
# - magnetic moment (μB per formula unit) = 0.85
data_MgAgRh2
_space_group_name_H-M_alt 'I -4 2 d'
_space_group_IT_number 122
_space_group_name_Hall 'I -4 2bw'
_cell_length_a 3.784
_cell_length_b 3.784
_cell_length_c 19.082
_cell_angle_alpha 90.00
_cell_angle_beta 90.00
_cell_angle_gamma 90.00
loop_
_atom_site_label
_atom_site_fract_x
_atom_site_fract_y
_atom_site_fract_z
_atom_site_occupancy
Mg1 0.000 0.000 0.000 1
Ag1 0.000 0.000 0.500 1
Rh1 0.241 0.250 0.125 1

---

The highest magnetic moment belongs to which entry? Na3Eu